# 1
BaCa2CuSe, relaxed, DFT PBE-GGA; total DFT energy (no corrections) = -1.999 eV/atom; total magnetic moment = 0.000 Bohr magnetons per cell; crystal system = tetragonal
1.0
7.1099 0.0000 0.0000
0.0000 5.8400 0.0000
0.0000 0.0000 7.1099
Ca Ba Se Cu
2 1 1 1
direct
0.0000 0.0000 0.5000
0.5000 0.0000 0.0000
0.0000 0.0000 0.0000
0.0000 0.5000 0.0000
0.5000 0.5000 0.5000


# 2
BaCaCuSi, relaxed, DFT PBE-GGA; total DFT energy (no corrections) = -3.663 eV/atom; total magnetic moment = 0.002 Bohr magnetons per cell; crystal system = trigonal
1.0
4.2515 -0.0144 -0.0073
-2.1134 3.6890 0.0073
-2.1209 -1.2253 8.0584
Cu Ca Si Ba
1 1 1 1
direct
0.4936 0.6115 0.1051
0.0141 0.8717 0.8858
0.8313 0.2803 0.1117
0.3532 0.0408 0.3940


> Which formula does entry 1 have?

BaCa2CuSe